The following is a PBE calculation of a relaxed Tb2DyTm4Mg crystal, from Alexandria.

Cell: 12.041 3.641 11.457 Å, 90.00 107.52 90.00°
Space group C2/m (No. 12)
Unique sites:
Tb1 0.023 0.000 0.272 (multiplicity 4)
Dy1 0.000 0.500 0.000 (multiplicity 2)
Tm1 0.219 0.000 0.610 (multiplicity 4)
Tm2 0.237 0.500 0.867 (multiplicity 4)
Mg1 0.000 0.500 0.500 (multiplicity 2)

Output
E_tot ... -0.3050 Ry/atom
Fermi-level density of states ... 10.15 states/eV/f.u.
Energy relative to the elements ... 0.02 eV per atom